# Rb5CoTeO2, optimized geometry, DFT PBE+U
# DFT total energy: -32.40 eV/cell
data_Rb5CoTeO2
_space_group_name_H-M_alt 'P 4/m m m'
_space_group_IT_number 123
_space_group_name_Hall '-P 4 2'
_cell_length_a 5.753
_cell_length_b 5.753
_cell_length_c 9.293
_cell_angle_alpha 90.00
_cell_angle_beta 90.00
_cell_angle_gamma 90.00
loop_
_atom_site_label
_atom_site_type_symbol
_atom_site_fract_x
_atom_site_fract_y
_atom_site_fract_z
Rb1 Rb 0.000 0.000 0.000
Rb2 Rb 0.000 0.500 0.274
Co1 Co 0.000 0.000 0.500
Te1 Te 0.500 0.500 0.000
O1 O 0.000 0.000 0.310